Record 1
# meta-GGA SCAN MgRePb2, PBEsol geometry
# - ΔE_f (eV per atom) = 0.79
# - D(E_F) (states/eV/cell) = 2.9
data_MgRePb2
_space_group_name_H-M_alt 'P 1 2/m 1'
_space_group_IT_number 10
_cell_length_a 3.071
_cell_length_b 4.918
_cell_length_c 5.721
_cell_angle_alpha 90.00
_cell_angle_beta 92.69
_cell_angle_gamma 90.00
loop_
_space_group_symop_operation_xyz
'x,y,z'
'-x,-y,-z'
'-x,y,-z'
'x,-y,z'
loop_
_atom_site_label
_atom_site_type_symbol
_atom_site_fract_x
_atom_site_fract_y
_atom_site_fract_z
_atom_site_occupancy
Mg1 Mg 0.000 0.000 0.000 1
Re1 Re 0.500 0.000 0.500 1
Pb1 Pb 0.308 0.500 0.744 1

---

Record 2
# meta-GGA SCAN ZnCoAs2, PBEsol geometry
# - ΔE_f (eV per atom) = 0.33
# - D(E_F) (states/eV/cell) = 5.5
data_ZnCoAs2
_space_group_name_H-M_alt 'C m m m'
_space_group_IT_number 65
_space_group_name_Hall '-C 2 2'
_cell_length_a 5.293
_cell_length_b 6.914
_cell_length_c 3.187
_cell_angle_alpha 90.00
_cell_angle_beta 90.00
_cell_angle_gamma 90.00
loop_
_atom_site_label
_atom_site_type_symbol
_atom_site_fract_x
_atom_site_fract_y
_atom_site_fract_z
_atom_site_occupancy
Zn1 Zn 0.000 0.000 0.000 1
Co1 Co 0.000 0.500 0.000 1
As1 As 0.250 0.250 0.500 1

---

Record 3
# meta-GGA SCAN LiLuTl2, PBEsol geometry
# - ΔE_f (eV per atom) = -0.44
# - D(E_F) (states/eV/cell) = 3.4
data_LiLuTl2
_space_group_name_H-M_alt 'F m -3 m'
_space_group_IT_number 225
_space_group_name_Hall '-F 4 2 3'
_cell_length_a 7.131
_cell_length_b 7.131
_cell_length_c 7.131
_cell_angle_alpha 90.00
_cell_angle_beta 90.00
_cell_angle_gamma 90.00
loop_
_atom_site_label
_atom_site_type_symbol
_atom_site_fract_x
_atom_site_fract_y
_atom_site_fract_z
_atom_site_occupancy
Li1 Li 0.000 0.000 0.000 1
Lu1 Lu 0.000 0.000 0.500 1
Tl1 Tl 0.250 0.250 0.250 1

---

Record 4
# meta-GGA SCAN LiVO2F2, PBEsol geometry
# - D(E_F) (states/eV/cell) = 0.0
# - excess energy over the best structure of this formula in the dataset (eV/atom) = 0.045
# - E_form (uncorrected) (kcal/mol of atoms) = -63.80
data_LiVO2F2
_space_group_name_H-M_alt 'P 1 2/c 1'
_space_group_IT_number 13
_cell_length_a 5.220
_cell_length_b 5.402
_cell_length_c 5.226
_cell_angle_alpha 90.00
_cell_angle_beta 118.17
_cell_angle_gamma 90.00
loop_
_space_group_symop_operation_xyz
'x,y,z'
'-x,-y,-z'
'-x,y,-z+1/2'
'x,-y,z+1/2'
loop_
_atom_site_label
_atom_site_type_symbol
_atom_site_fract_x
_atom_site_fract_y
_atom_site_fract_z
_atom_site_occupancy
Li1 Li 0.000 0.088 0.250 1
V1 V 0.500 0.406 0.250 1
O1 O 0.299 0.386 0.475 1
F1 F 0.234 0.145 0.052 1

---

Record 5
# meta-GGA SCAN LiRhW2, PBEsol geometry
# - ΔE_f (eV per atom) = 0.11
# - D(E_F) (states/eV/cell) = 3.5
# - excess energy over the best structure of this formula in the dataset (eV/atom) = 0.000
data_LiRhW2
_space_group_name_H-M_alt 'I m m m'
_space_group_IT_number 71
_space_group_name_Hall '-I 2 2'
_cell_length_a 3.002
_cell_length_b 4.251
_cell_length_c 8.900
_cell_angle_alpha 90.00
_cell_angle_beta 90.00
_cell_angle_gamma 90.00
loop_
_atom_site_label
_atom_site_type_symbol
_atom_site_fract_x
_atom_site_fract_y
_atom_site_fract_z
_atom_site_occupancy
Li1 Li 0.000 0.000 0.000 1
Rh1 Rh 0.000 0.000 0.500 1
W1 W 0.000 0.500 0.245 1

---

Record 6
# meta-GGA SCAN MgBe2Re2, PBEsol geometry
# - ΔE_f (eV per atom) = 0.02
# - D(E_F) (states/eV/cell) = 7.9
data_MgBe2Re2
_space_group_name_H-M_alt 'P 4/m b m'
_space_group_IT_number 127
_space_group_name_Hall '-P 4 2ab'
_cell_length_a 6.090
_cell_length_b 6.090
_cell_length_c 3.163
_cell_angle_alpha 90.00
_cell_angle_beta 90.00
_cell_angle_gamma 90.00
loop_
_atom_site_label
_atom_site_type_symbol
_atom_site_fract_x
_atom_site_fract_y
_atom_site_fract_z
_atom_site_occupancy
Mg1 Mg 0.000 0.000 0.000 1
Be1 Be 0.119 0.381 0.000 1
Re1 Re 0.170 0.670 0.500 1

---

Record 7
# meta-GGA SCAN ThGaNi, PBEsol geometry
# - ΔE_f (eV per atom) = -0.66
# - D(E_F) (states/eV/cell) = 3.4
data_ThGaNi
_space_group_name_H-M_alt 'P -6 2 m'
_space_group_IT_number 189
_space_group_name_Hall 'P -6 -2'
_cell_length_a 6.9020
_cell_length_b 6.9020
_cell_length_c 4.0237
_cell_angle_alpha 90.00
_cell_angle_beta 90.00
_cell_angle_gamma 120.00
loop_
_atom_site_label
_atom_site_type_symbol
_atom_site_fract_x
_atom_site_fract_y
_atom_site_fract_z
_atom_site_occupancy
Th1 Th 0.0000 0.4202 0.0000 1
Ga1 Ga 0.0000 0.7656 0.5000 1
Ni1 Ni 0.0000 0.0000 0.0000 1
Ni2 Ni 0.3333 0.6667 0.5000 1

---

Record 8
# meta-GGA SCAN NaGa11O18, PBEsol geometry
# - D(E_F) (states/eV/cell) = 14.3
# - E_form (uncorrected) (kcal/mol of atoms) = -44.27
data_NaGa11O18
_space_group_name_H-M_alt 'P 1 21/m 1'
_space_group_IT_number 11
_cell_length_a 8.598
_cell_length_b 8.978
_cell_length_c 9.409
_cell_angle_alpha 90.00
_cell_angle_beta 115.67
_cell_angle_gamma 90.00
loop_
_space_group_symop_operation_xyz
'x,y,z'
'-x,-y,-z'
'-x,y+1/2,-z'
'x,-y+1/2,z'
loop_
_atom_site_label
_atom_site_type_symbol
_atom_site_fract_x
_atom_site_fract_y
_atom_site_fract_z
_atom_site_occupancy
Na1 Na 0.024 0.250 0.062 1
Ga1 Ga 0.004 0.750 0.363 1
Ga2 Ga 0.014 0.085 0.360 1
Ga3 Ga 0.290 0.578 0.257 1
Ga4 Ga 0.321 0.076 0.949 1
Ga5 Ga 0.332 0.750 0.954 1
Ga6 Ga 0.351 0.250 0.460 1
Ga7 Ga 0.369 0.576 0.651 1
O1 O 0.105 0.083 0.766 1
O2 O 0.114 0.750 0.773 1
O3 O 0.135 0.584 0.521 1
O4 O 0.139 0.250 0.510 1
O5 O 0.184 0.750 0.280 1
O6 O 0.208 0.094 0.304 1
O7 O 0.257 0.585 0.049 1
O8 O 0.275 0.250 0.043 1
O9 O 0.420 0.579 0.865 1
O10 O 0.423 0.250 0.887 1
O11 O 0.467 0.750 0.616 1
O12 O 0.473 0.091 0.618 1